No. 1
{
  "formula": "Ag2SbCl8",
  "functional": "PBE-GGA",
  "state": "optimized geometry",
  "energy_ev_per_atom": -2.68,
  "relative_energy_mev_per_atom": 59,
  "e_form_raw_ev_per_atom": -0.444,
  "crystal_system": "monoclinic",
  "lattice": [[6.803, -0.493, -0.344], [0.725, 8.538, 1.773], [0.725, 4.603, 7.406]],
  "species": ["Cl", "Cl", "Cl", "Cl", "Cl", "Cl", "Cl", "Cl", "Ag", "Ag", "Sb"],
  "fractional_positions": [[0.498, 0.695, 0.695], [0.502, 0.305, 0.305], [0.797, 0.822, 0.314], [0.797, 0.314, 0.822], [0.203, 0.686, 0.178], [0.786, 0.881, 0.881], [0.214, 0.119, 0.119], [0.203, 0.178, 0.686], [0.622, 0.168, 0.168], [0.378, 0.832, 0.832], [0.000, 0.000, 0.000]]
}

***

No. 2
{
  "formula": "ZrGe3Te",
  "functional": "PBE-GGA",
  "state": "optimized geometry",
  "energy_ev_per_atom": -4.00,
  "relative_energy_mev_per_atom": 582,
  "e_form_raw_ev_per_atom": 1.111,
  "crystal_system": "cubic",
  "lattice": [[-4.167, -2.457, 1.886], [3.082, -2.975, 2.934], [-0.308, 3.475, 3.846]],
  "species": ["Ge", "Ge", "Ge", "Te", "Zr"],
  "fractional_positions": [[0.000, 0.500, 0.000], [0.500, 0.000, 0.000], [0.000, 0.000, 0.500], [0.000, 0.000, 0.000], [0.500, 0.500, 0.500]]
}